{"formula": "NaInSn2", "functional": "PBEsol", "state": "relaxed", "total_magnetization_mub_per_cell": 0.000, "e_tot_ev_per_atom": -3.3759, "cell": [[6.279, 0.000, 0.000], [0.000, 6.488, 0.000], [0.000, 0.000, 11.443]], "species": ["Sn", "Sn", "Sn", "Sn", "Sn", "Sn", "Sn", "Sn", "Na", "Na", "Na", "Na", "In", "In", "In", "In"], "fractional_positions": [[0.437, 0.883, 0.624], [0.721, 0.276, 0.265], [0.779, 0.724, 0.765], [0.937, 0.617, 0.376], [0.221, 0.224, 0.735], [0.063, 0.117, 0.124], [0.563, 0.383, 0.876], [0.279, 0.776, 0.235], [0.386, 0.877, 0.935], [0.886, 0.623, 0.065], [0.114, 0.123, 0.435], [0.614, 0.377, 0.565], [0.105, 0.586, 0.608], [0.395, 0.414, 0.108], [0.895, 0.086, 0.892], [0.605, 0.914, 0.392]]}